Below is ScTe2N2 after structural relaxation, with properties calculated at the PBE-GGA level.

Cell: 5.702 5.702 4.008 Å, 90.00 90.00 90.00°
Each line ends with the local moment (μB).
Fractional coordinates of all 5 atoms:
Sc 0.000 0.000 0.000  0.01
Te 0.000 0.500 0.000  -0.15
Te 0.500 0.000 0.000  -0.15
N 0.500 0.500 0.500  1.70
N 0.000 0.000 0.500  0.56

Summary:
**Volume**: 130 Å³/cell
**SG**: No. 123
**Energy relative to the lowest polymorph listed for this composition**: 552.3 meV/atom
**Formation energy (no corrections)**: 1.239 eV per atom
**Energy**: -4.614 eV/atom